Entry 1:
The following is a PBE calculation of a relaxed structure of AcPmBiTe, from Alexandria.

Computed properties:
Total energy, eV/atom: -5.1934
Space group: R3m (160)
Total magnetization, μB/atom: 0.000
Density, Mg/m³: 8.2
E_form (uncorrected), eV per formula unit: -4.9

```
AcPmBiTe
1.0
4.677 0.000 0.000
2.338 4.050 0.000
2.338 1.350 7.597
Bi Te Ac Pm
1 1 1 1
direct
0.244 0.244 0.267
0.756 0.756 0.733
0.000 0.000 0.001
0.500 0.500 0.499
```



Entry 2:
The following is a PBE calculation of a relaxed structure of Ac2PmThBi4, from Alexandria.

Computed properties:
ΔH_f (0 K), eV per atom: -0.886
Total energy, eV/atom: -5.3752
Space group: P2/m (10)
Total magnetization, μB/atom: 0.000
Density, Mg/m³: 9.3

```
Ac2PmThBi4
1.0
-1.182 4.491 0.857
-1.175 -1.812 7.872
7.819 2.274 -1.133
Pm Bi Th Ac
1 4 1 2
direct
0.500 0.500 0.000
0.000 0.745 0.233
0.000 0.255 0.767
0.500 0.756 0.767
0.500 0.244 0.233
0.000 0.000 0.000
0.000 0.500 0.500
0.500 0.000 0.500
```



Entry 3:
The following is a PBE calculation of a relaxed structure of AcPm2ThBi4, from Alexandria.

Computed properties:
ΔH_f (0 K), eV per atom: -0.864
Total energy, eV/atom: -5.4331
Space group: P2/m (10)
Total magnetization, μB/atom: 0.000
Density, Mg/m³: 9.2

```
AcPm2ThBi4
1.0
4.659 0.000 0.000
0.000 8.035 -0.153
0.000 2.835 7.569
Pm Th Bi Ac
2 1 4 1
direct
0.500 0.000 0.500
0.000 0.000 0.000
0.000 0.500 0.500
0.500 0.755 0.256
0.000 0.760 0.738
0.000 0.240 0.262
0.500 0.245 0.744
0.500 0.500 0.000
```



Entry 4:
The following is a PBE calculation of a relaxed structure of AcPmTh2Bi4, from Alexandria.

Computed properties:
ΔH_f (0 K), eV per atom: -0.753
Total energy, eV/atom: -5.6556
Space group: I-4m2 (119)
Total magnetization, μB/atom: 0.000
Density, Mg/m³: 9.7

```
AcPmTh2Bi4
1.0
6.594 0.003 0.000
-0.003 6.594 0.000
-3.296 -3.299 6.586
Pm Th Bi Ac
1 2 4 1
direct
0.750 0.250 0.500
0.000 0.000 0.000
0.250 0.750 0.500
0.500 0.000 0.999
0.245 0.245 0.489
0.755 0.755 0.511
0.000 0.500 0.001
0.500 0.500 0.000
```



Entry 5:
The following is a PBE calculation of a relaxed structure of Ac2PmTmBi4, from Alexandria.

Computed properties:
ΔH_f (0 K), eV per atom: -0.913
Total energy, eV/atom: -5.0338
Space group: P2/m (10)
Total magnetization, μB/atom: 0.000
Density, Mg/m³: 9.1

```
Ac2PmTmBi4
1.0
4.701 0.000 0.000
0.000 8.125 -0.157
0.000 2.863 7.615
Ac Tm Bi Pm
2 1 4 1
direct
0.000 0.000 0.000
0.500 0.000 0.500
0.000 0.500 0.500
0.500 0.727 0.262
0.500 0.273 0.738
0.000 0.730 0.752
0.000 0.270 0.248
0.500 0.500 0.000
```



Entry 6:
The following is a PBE calculation of a relaxed structure of AcPmTmBi, from Alexandria.

Computed properties:
ΔH_f (0 K), eV per atom: -0.145
Total energy, eV/atom: -4.4482
Space group: F-43m (216)
Total magnetization, μB/atom: 0.000
Density, Mg/m³: 9.7

```
AcPmTmBi
1.0
5.657 0.000 0.000
2.829 4.899 0.000
2.829 1.633 4.619
Ac Tm Pm Bi
1 1 1 1
direct
0.750 0.750 0.750
0.500 0.500 0.500
0.000 0.000 0.000
0.250 0.250 0.250
```



Entry 7:
The following is a PBE calculation of a relaxed structure of AcPm2TmBi4, from Alexandria.

Computed properties:
ΔH_f (0 K), eV per atom: -0.883
Total energy, eV/atom: -5.0840
Space group: P2/m (10)
Total magnetization, μB/atom: 0.000
Density, Mg/m³: 9.0

```
AcPm2TmBi4
1.0
4.630 0.000 0.000
0.000 8.018 -0.166
0.000 2.815 7.490
Bi Tm Pm Ac
4 1 2 1
direct
0.500 0.758 0.236
0.000 0.252 0.238
0.000 0.748 0.762
0.500 0.242 0.764
0.500 0.500 0.000
0.000 0.000 0.000
0.500 0.000 0.500
0.000 0.500 0.500
```



Entry 8:
The following is a PBE calculation of a relaxed structure of AcPr2Bi, from Alexandria.

Computed properties:
ΔH_f (0 K), eV per atom: -0.415
Total energy, eV/atom: -4.8019
Space group: P4/mmm (123)
Total magnetization, μB/atom: 0.000
Density, Mg/m³: 8.7

```
AcPr2Bi
1.0
-1.189 1.734 4.600
2.294 -4.129 2.150
4.493 2.592 0.184
Bi Pr Ac
1 2 1
direct
0.500 0.000 0.000
0.000 0.000 0.500
0.000 0.500 0.000
0.500 0.500 0.500
```



Entry 9:
The following is a PBE calculation of a relaxed structure of AcPr3Bi2, from Alexandria.

Computed properties:
ΔH_f (0 K), eV per atom: -0.598
Total energy, eV/atom: -4.9661
Space group: P-4m2 (115)
Total magnetization, μB/atom: 0.000
Density, Mg/m³: 8.4

```
AcPr3Bi2
1.0
4.769 0.000 0.000
0.000 4.769 0.000
0.000 0.000 9.251
Pr Ac Bi
3 1 2
direct
0.500 0.000 0.356
0.000 0.000 0.000
0.000 0.500 0.644
0.500 0.500 0.000
0.000 0.500 0.286
0.500 0.000 0.714
```



Entry 10:
The following is a PBE calculation of a relaxed structure of AcPrBi2, from Alexandria.

Computed properties:
ΔH_f (0 K), eV per atom: -0.934
Total energy, eV/atom: -5.0965
Space group: P6_3/mmc (194)
Total magnetization, μB/atom: 0.000
Density, Mg/m³: 8.6

```
AcPrBi2
1.0
-0.848 1.943 -4.233
-2.022 -4.121 1.161
-12.300 7.728 6.012
Pr Bi Ac
2 4 2
direct
0.000 0.000 0.000
0.000 0.000 0.500
0.333 0.667 0.383
0.333 0.667 0.117
0.667 0.333 0.617
0.667 0.333 0.883
0.667 0.333 0.250
0.333 0.667 0.750
```



Entry 11:
The following is a PBE calculation of a relaxed structure of AcPrBi, from Alexandria.

Computed properties:
ΔH_f (0 K), eV per atom: -0.508
Total energy, eV/atom: -4.7647
Space group: I4mm (107)
Total magnetization, μB/atom: 0.000
Density, Mg/m³: 8.9

```
AcPrBi
1.0
4.327 0.000 0.000
0.000 4.327 0.000
-2.164 -2.164 5.720
Ac Bi Pr
1 1 1
direct
0.275 0.275 0.550
0.604 0.604 0.208
0.971 0.971 0.942
```



Entry 12:
The following is a PBE calculation of a relaxed structure of AcPrBi6, from Alexandria.

Computed properties:
ΔH_f (0 K), eV per atom: -0.274
Total energy, eV/atom: -4.2953
Space group: Amm2 (38)
Total magnetization, μB/atom: 0.000
Density, Mg/m³: 9.3

```
AcPrBi6
1.0
4.473 0.000 -0.768
0.000 4.408 0.000
0.215 0.000 14.653
Bi Pr Ac
6 1 1
direct
0.270 0.500 0.540
0.722 0.000 0.443
0.426 0.000 0.852
0.578 0.500 0.156
0.059 0.000 0.117
0.948 0.500 0.896
0.159 0.500 0.318
0.839 0.000 0.678
```



Entry 13:
The following is a PBE calculation of a relaxed structure of AcPr3Bi3, from Alexandria.

Computed properties:
ΔH_f (0 K), eV per atom: -0.828
Total energy, eV/atom: -5.1261
Space group: P2_13 (198)
Total magnetization, μB/atom: 0.000
Density, Mg/m³: 8.7

```
AcPr3Bi3
1.0
-2.639 6.423 -7.052
-7.744 -5.715 -2.307
-5.569 4.903 6.549
Bi Pr Ac
12 12 4
direct
0.757 0.381 0.502
0.498 0.257 0.119
0.002 0.743 0.619
0.998 0.243 0.881
0.243 0.881 0.998
0.502 0.757 0.381
0.619 0.002 0.743
0.743 0.619 0.002
0.257 0.119 0.498
0.881 0.998 0.243
0.381 0.502 0.757
0.119 0.498 0.257
0.179 0.179 0.179
0.321 0.821 0.679
0.074 0.426 0.574
0.682 0.682 0.682
0.818 0.318 0.182
0.679 0.321 0.821
0.426 0.574 0.074
0.926 0.926 0.926
0.318 0.182 0.818
0.574 0.074 0.426
0.182 0.818 0.318
0.821 0.679 0.321
0.570 0.930 0.070
0.930 0.070 0.570
0.430 0.430 0.430
0.070 0.570 0.930
```



Entry 14:
The following is a PBE calculation of a relaxed structure of AcPrBi2, from Alexandria.

Computed properties:
ΔH_f (0 K), eV per atom: -0.974
Total energy, eV/atom: -5.1365
Space group: R-3m (166)
Total magnetization, μB/atom: 0.000
Density, Mg/m³: 8.5

```
AcPrBi2
1.0
4.762 0.014 0.017
2.368 4.131 0.017
2.351 1.367 7.789
Bi Pr Ac
2 1 1
direct
0.254 0.254 0.238
0.746 0.746 0.762
0.000 0.000 0.000
0.500 0.500 0.500
```



Entry 15:
The following is a PBE calculation of a relaxed structure of AcPr2Bi, from Alexandria.

Computed properties:
ΔH_f (0 K), eV per atom: -0.290
Total energy, eV/atom: -4.6772
Space group: R3m (160)
Total magnetization, μB/atom: 0.038
Density, Mg/m³: 7.5

```
AcPr2Bi
1.0
-4.138 0.321 -1.002
-2.416 -3.512 -0.246
-4.480 -0.168 9.355
Pr Bi Ac
2 1 1
direct
0.067 0.067 0.798
0.266 0.266 0.202
0.667 0.667 0.000
0.500 0.500 0.500
```



Entry 16:
The following is a PBE calculation of a relaxed structure of AcPr4Bi2, from Alexandria.

Computed properties:
ΔH_f (0 K), eV per atom: 0.378
Total energy, eV/atom: -4.0489
Space group: I4/mmm (139)
Total magnetization, μB/atom: 0.000
Density, Mg/m³: 6.8

```
AcPr4Bi2
1.0
5.974 0.000 0.000
0.000 5.974 0.000
-2.987 -2.987 8.328
Pr Bi Ac
4 2 1
direct
0.500 0.000 0.000
0.189 0.189 0.378
0.811 0.811 0.622
0.000 0.500 0.000
0.625 0.625 0.249
0.375 0.375 0.751
0.000 0.000 0.000
```



Entry 17:
The following is a PBE calculation of a relaxed structure of AcPr2Bi, from Alexandria.

Computed properties:
ΔH_f (0 K), eV per atom: -0.238
Total energy, eV/atom: -4.6252
Space group: Fm-3m (225)
Total magnetization, μB/atom: 0.000
Density, Mg/m³: 8.7

```
AcPr2Bi
1.0
5.783 0.000 0.000
2.891 5.008 0.000
2.891 1.669 4.721
Ac Bi Pr
1 1 2
direct
0.500 0.500 0.500
0.000 0.000 0.000
0.750 0.750 0.750
0.250 0.250 0.250
```



Entry 18:
The following is a PBE calculation of a relaxed structure of Ac3PrBi4, from Alexandria.

Computed properties:
ΔH_f (0 K), eV per atom: -0.984
Total energy, eV/atom: -5.0624
Space group: Cmmm (65)
Total magnetization, μB/atom: 0.000
Density, Mg/m³: 8.7

```
Ac3PrBi4
1.0
-1.566 -3.883 2.401
7.899 -2.364 1.328
-2.529 4.898 6.273
Ac Pr Bi
3 1 4
direct
0.000 0.000 0.500
0.000 0.500 0.000
0.500 0.500 0.500
0.500 0.000 0.000
0.500 0.246 0.754
0.000 0.242 0.242
0.000 0.758 0.758
0.500 0.754 0.246
```



Entry 19:
The following is a PBE calculation of a relaxed structure of AcPrBi2, from Alexandria.

Computed properties:
ΔH_f (0 K), eV per atom: -0.184
Total energy, eV/atom: -4.3460
Space group: R-3m (166)
Total magnetization, μB/atom: 0.000
Density, Mg/m³: 7.9

```
AcPrBi2
1.0
4.094 0.000 0.000
2.047 3.546 0.000
2.047 1.182 11.341
Ac Bi Pr
1 2 1
direct
0.000 0.000 0.000
0.098 0.098 0.706
0.902 0.902 0.294
0.500 0.500 0.500
```



Entry 20:
The following is a PBE calculation of a relaxed structure of AcPrBi, from Alexandria.

Computed properties:
ΔH_f (0 K), eV per atom: -0.407
Total energy, eV/atom: -4.6633
Space group: F-43m (216)
Total magnetization, μB/atom: 0.000
Density, Mg/m³: 8.0

```
AcPrBi
1.0
5.538 0.000 0.000
2.769 4.796 0.000
2.769 1.599 4.522
Pr Bi Ac
1 1 1
direct
0.000 0.000 0.000
0.250 0.250 0.250
0.500 0.500 0.500
```



Entry 21:
The following is a PBE calculation of a relaxed structure of AcPr2Bi, from Alexandria.

Computed properties:
ΔH_f (0 K), eV per atom: -0.403
Total energy, eV/atom: -4.7898
Space group: P4/mmm (123)
Total magnetization, μB/atom: 0.000
Density, Mg/m³: 8.5

```
AcPr2Bi
1.0
-2.674 1.095 -3.065
1.509 -3.098 -2.423
-5.431 -4.965 2.966
Pr Bi Ac
2 1 1
direct
0.000 0.000 0.711
0.000 0.000 0.289
0.500 0.500 0.500
0.500 0.500 0.000
```



Entry 22:
The following is a PBE calculation of a relaxed structure of Ac5Pr3Bi8, from Alexandria.

Computed properties:
ΔH_f (0 K), eV per atom: -0.976
Total energy, eV/atom: -5.0970
Space group: R-3m (166)
Total magnetization, μB/atom: 0.000
Density, Mg/m³: 8.6

```
Ac5Pr3Bi8
1.0
-0.680 -8.405 4.561
5.903 -7.195 -2.303
6.872 -2.706 6.114
Bi Pr Ac
8 3 5
direct
0.250 0.250 0.742
0.750 0.242 0.258
0.246 0.246 0.262
0.750 0.750 0.258
0.754 0.754 0.738
0.242 0.750 0.258
0.250 0.758 0.742
0.758 0.250 0.742
0.000 0.000 0.500
0.500 0.000 0.500
0.000 0.500 0.500
0.500 0.000 0.000
0.000 0.500 0.000
0.500 0.500 0.000
0.000 0.000 0.000
0.500 0.500 0.500
```



Entry 23:
The following is a PBE calculation of a relaxed structure of AcPrBi, from Alexandria.

Computed properties:
ΔH_f (0 K), eV per atom: -0.654
Total energy, eV/atom: -4.9106
Space group: P4/nmm (129)
Total magnetization, μB/atom: 0.000
Density, Mg/m³: 8.6

```
AcPrBi
1.0
-1.447 -4.617 0.446
0.873 -0.729 -4.725
8.797 -2.564 2.018
Bi Pr Ac
2 2 2
direct
0.314 0.367 0.651
0.813 0.866 0.189
0.814 0.366 0.920
0.314 0.866 0.920
0.814 0.867 0.568
0.313 0.366 0.271
```



Entry 24:
The following is a PBE calculation of a relaxed structure of Ac3PrBi4, from Alexandria.

Computed properties:
ΔH_f (0 K), eV per atom: -0.977
Total energy, eV/atom: -5.0560
Space group: Pm-3m (221)
Total magnetization, μB/atom: 0.000
Density, Mg/m³: 8.7

```
Ac3PrBi4
1.0
6.824 0.000 0.000
0.000 6.824 0.000
0.000 0.000 6.824
Ac Bi Pr
3 4 1
direct
0.500 0.000 0.500
0.000 0.500 0.500
0.500 0.500 0.000
0.000 0.500 0.000
0.000 0.000 0.500
0.500 0.000 0.000
0.500 0.500 0.500
0.000 0.000 0.000
```



Entry 25:
The following is a PBE calculation of a relaxed structure of AcPr3Bi4, from Alexandria.

Computed properties:
ΔH_f (0 K), eV per atom: -0.961
Total energy, eV/atom: -5.2070
Space group: Cmmm (65)
Total magnetization, μB/atom: 0.000
Density, Mg/m³: 8.4

```
AcPr3Bi4
1.0
4.705 0.000 0.000
0.000 8.146 -0.075
0.000 -2.639 7.707
Pr Bi Ac
3 4 1
direct
0.000 0.500 0.000
0.500 0.500 0.500
0.000 0.000 0.500
0.500 0.746 0.254
0.500 0.254 0.746
0.000 0.258 0.258
0.000 0.742 0.742
0.500 0.000 0.000
```



Entry 26:
The following is a PBE calculation of a relaxed structure of AcPrBi, from Alexandria.

Computed properties:
ΔH_f (0 K), eV per atom: -0.326
Total energy, eV/atom: -4.5827
Space group: P3m1 (156)
Total magnetization, μB/atom: 0.000
Density, Mg/m³: 8.4

```
AcPrBi
1.0
4.390 0.000 0.000
0.000 5.489 0.000
0.000 -2.744 4.753
Ac Pr Bi
1 1 1
direct
0.976 0.000 0.000
0.463 0.333 0.667
0.561 0.667 0.333
```